Material: Sr2CuSn3Pd4
Method: DFT, GGA-PBE
State: relaxed

Cell lengths 4.6429, 4.6429, 10.6360 Å; angles 90.00, 90.00, 90.00 degrees
Fractional positions:
Sr: 0.0000 0.5000 0.7452
Cu: 0.5000 0.5000 0.5000
Sn: 0.5000 0.0000 0.8741
Pd: 0.0000 0.5000 0.3762
Sn: 0.0000 0.5000 0.1259
Pd: 0.0000 0.0000 0.0000
Sn: 0.0000 0.0000 0.5000
Pd: 0.5000 0.5000 0.0000
Pd: 0.5000 0.0000 0.6238
Sr: 0.5000 0.0000 0.2548

Properties
As for the space-group type: P-4m2. The calculation puts the final energy at -0.341 Ry/atom. Its formation energy is -6.22 eV/f.u.



Material: SrCuSnPd3
Method: DFT, GGA-PBE
State: relaxed

Cell lengths 7.2069, 5.9052, 6.6606 Å; angles 116.31, 90.00, 90.00 degrees
Fractional positions:
Sr: 0.7500 0.3132 0.6265
Sn: 0.2500 0.3755 0.7510
Sn: 0.7500 0.6245 0.2490
Cu: 0.7500 0.0716 0.1432
Pd: 0.5000 0.7435 0.0000
Cu: 0.2500 0.9284 0.8568
Pd: 0.7500 0.8483 0.6966
Pd: 0.2500 0.1517 0.3034
Sr: 0.2500 0.6868 0.3735
Pd: 0.0000 0.7435 0.0000
Pd: 0.0000 0.2565 0.0000
Pd: 0.5000 0.2565 0.0000

Properties
As for the space-group type: Cmcm. The calculation puts the final energy at -0.339 Ry/atom. Its formation energy is -2.28 eV/f.u.



Material: Sr2Cu3Sn4Pd
Method: DFT, GGA-PBE
State: relaxed

Cell lengths 4.6393, 4.6393, 10.7232 Å; angles 90.00, 90.00, 90.00 degrees
Fractional positions:
Sr: 0.0000 0.5000 0.7415
Cu: 0.0000 0.5000 0.1316
Cu: 0.0000 0.0000 0.5000
Sn: 0.0000 0.0000 0.0000
Sr: 0.5000 0.0000 0.2585
Cu: 0.5000 0.0000 0.8684
Sn: 0.5000 0.5000 0.0000
Pd: 0.5000 0.5000 0.5000
Sn: 0.5000 0.0000 0.6246
Sn: 0.0000 0.5000 0.3754

Properties
As for the space-group type: P-4m2. The calculation puts the final energy at -0.302 Ry/atom. Its formation energy is -4.22 eV/f.u.



Material: Sr2CuSn4Pd3
Method: DFT, GGA-PBE
State: relaxed

Cell lengths 4.6186, 4.6186, 11.0868 Å; angles 90.00, 90.00, 90.00 degrees
Fractional positions:
Pd: 0.5000 0.0000 0.8661
Sr: 0.0000 0.5000 0.7433
Sn: 0.0000 0.5000 0.3780
Sn: 0.5000 0.5000 0.0000
Sn: 0.5000 0.0000 0.6220
Sr: 0.5000 0.0000 0.2567
Pd: 0.0000 0.5000 0.1339
Cu: 0.5000 0.5000 0.5000
Pd: 0.0000 0.0000 0.5000
Sn: 0.0000 0.0000 0.0000

Properties
As for the space-group type: P-4m2. The calculation puts the final energy at -0.333 Ry/atom. Its formation energy is -6.23 eV/f.u.